[1]
Entry from Alexandria via LeMat-Bulk: KScP2 at its PBEsol-relaxed geometry (SCAN).

a b c (Å): 4.530 4.954 4.530
angles (deg): 62.80 90.00 117.20
Atoms (fractional coordinates):
P  0.750  0.500  0.750
P  0.250  0.500  0.250
K  0.500  0.000  0.500
Sc  0.000  0.000  0.000

Results
Magnetization ... 0.00 Bohr magnetons per cell
E_form ... -308 meV per atom

---

[2]
Entry from Alexandria via LeMat-Bulk: K2PSe at its PBEsol-relaxed geometry (SCAN).

a b c (Å): 2.800 6.029 6.029
angles (deg): 90.00 90.00 90.00
Atoms (fractional coordinates):
K  0.000  0.500  0.000
K  0.000  0.000  0.500
Se  0.500  0.500  0.500
P  0.500  0.000  0.000

Results
Magnetization ... 0.00 Bohr magnetons per cell
Energy ... -48.8 eV/cell

---

[3]
Entry from Alexandria via LeMat-Bulk: K2PSe at its PBEsol-relaxed geometry (SCAN).

a b c (Å): 4.461 4.461 9.153
angles (deg): 75.90 75.90 60.00
Atoms (fractional coordinates):
K  0.793  0.793  0.621
K  0.957  0.957  0.128
P  0.533  0.533  0.401
Se  0.217  0.217  0.350

Results
Magnetization ... 0.07 Bohr magnetons per cell
Energy ... -48.2 eV/cell